A relaxed structure of TlSiAs2, computed with PBE.

Cell and atoms, written as CIF:
```
data_TlSiAs2
_cell_length_a 4.915
_cell_length_b 4.915
_cell_length_c 3.507
_cell_angle_alpha 90.00
_cell_angle_beta 90.00
_cell_angle_gamma 90.00
_space_group_name_H-M_alt 'P 1'
_space_group_IT_number 1
loop_
_space_group_symop_operation_xyz
'x,y,z'
loop_
_atom_site_label
_atom_site_type_symbol
_atom_site_fract_x
_atom_site_fract_y
_atom_site_fract_z
Tl1 Tl 0.000 0.000 0.000
Si1 Si 0.500 0.500 0.000
As1 As 0.000 0.500 0.500
As2 As 0.500 0.000 0.500
```

The density of states at the Fermi level comes out at 1.65 states/eV per cell. For the formation energy (no corrections), the calculation gives 0.55 eV/atom. The value obtained for the calculated density is 7.5 Mg/m³. Its space group is P4/mmm, No. 123. Its polymorph energy (0 for the lowest one) is 492 meV/atom. The value obtained for the volume is 21.17 Å³/atom.

A relaxed structure of Tl2SiAs, computed with PBE.

Cell and atoms, written as CIF:
```
data_Tl2SiAs
_cell_length_a 12.628
_cell_length_b 3.667
_cell_length_c 5.094
_cell_angle_alpha 90.00
_cell_angle_beta 113.68
_cell_angle_gamma 90.00
_space_group_name_H-M_alt 'P 1'
_space_group_IT_number 1
loop_
_space_group_symop_operation_xyz
'x,y,z'
loop_
_atom_site_label
_atom_site_type_symbol
_atom_site_fract_x
_atom_site_fract_y
_atom_site_fract_z
Tl1 Tl 0.000 0.000 0.000
Tl2 Tl 0.208 0.000 0.706
Tl3 Tl 0.500 0.500 0.000
Tl4 Tl 0.708 0.500 0.706
Si1 Si 0.439 0.000 0.440
Si2 Si 0.939 0.500 0.440
As1 As 0.301 0.500 0.299
As2 As 0.801 0.000 0.299
```

The density of states at the Fermi level comes out at 2.64 states/eV per cell. For the formation energy (no corrections), the calculation gives 0.14 eV/atom. The value obtained for the calculated density is 7.9 Mg/m³. Its space group is Cm, No. 8. Its polymorph energy (0 for the lowest one) is 8 meV/atom. The value obtained for the volume is 27.00 Å³/atom.

A relaxed structure of TlSiAs2, computed with PBE.

Cell and atoms, written as CIF:
```
data_TlSiAs2
_cell_length_a 3.608
_cell_length_b 3.608
_cell_length_c 24.269
_cell_angle_alpha 90.00
_cell_angle_beta 90.00
_cell_angle_gamma 120.00
_space_group_name_H-M_alt 'P 1'
_space_group_IT_number 1
loop_
_space_group_symop_operation_xyz
'x,y,z'
loop_
_atom_site_label
_atom_site_type_symbol
_atom_site_fract_x
_atom_site_fract_y
_atom_site_fract_z
Tl1 Tl 0.000 0.000 0.000
Tl2 Tl 0.333 0.667 0.667
Tl3 Tl 0.667 0.333 0.333
Si1 Si 0.000 0.000 0.500
Si2 Si 0.333 0.667 0.167
Si3 Si 0.667 0.333 0.833
As1 As 0.000 0.000 0.226
As2 As 0.000 0.000 0.774
As3 As 0.333 0.667 0.441
As4 As 0.333 0.667 0.893
As5 As 0.667 0.333 0.107
As6 As 0.667 0.333 0.559
```

The density of states at the Fermi level comes out at 5.58 states/eV per cell. For the formation energy (no corrections), the calculation gives 0.11 eV/atom. The value obtained for the calculated density is 7.0 Mg/m³. Its space group is R-3m, No. 166. Its polymorph energy (0 for the lowest one) is 50 meV/atom. The value obtained for the volume is 22.80 Å³/atom.

A relaxed structure of Tl3Si2As4, computed with PBE.

Cell and atoms, written as CIF:
```
data_Tl3Si2As4
_cell_length_a 8.775
_cell_length_b 8.775
_cell_length_c 6.519
_cell_angle_alpha 90.59
_cell_angle_beta 90.59
_cell_angle_gamma 74.07
_space_group_name_H-M_alt 'P 1'
_space_group_IT_number 1
loop_
_space_group_symop_operation_xyz
'x,y,z'
loop_
_atom_site_label
_atom_site_type_symbol
_atom_site_fract_x
_atom_site_fract_y
_atom_site_fract_z
Tl1 Tl 0.091 0.909 0.750
Tl2 Tl 0.257 0.519 0.012
Tl3 Tl 0.481 0.743 0.488
Tl4 Tl 0.519 0.257 0.512
Tl5 Tl 0.743 0.481 0.988
Tl6 Tl 0.909 0.091 0.250
Si1 Si 0.097 0.331 0.576
Si2 Si 0.331 0.097 0.076
Si3 Si 0.669 0.903 0.924
Si4 Si 0.903 0.669 0.424
As1 As 0.090 0.254 0.928
As2 As 0.181 0.565 0.505
As3 As 0.254 0.090 0.428
As4 As 0.435 0.819 0.995
As5 As 0.565 0.181 0.005
As6 As 0.746 0.910 0.572
As7 As 0.819 0.435 0.495
As8 As 0.910 0.746 0.072
```

The density of states at the Fermi level comes out at 6.98 states/eV per cell. For the formation energy (no corrections), the calculation gives 0.00 eV/atom. The value obtained for the calculated density is 6.7 Mg/m³. Its space group is C2/c, No. 15. The value obtained for the volume is 26.81 Å³/atom.

> Among the records above, which one has the highest formation energy (no corrections)?

number 1

> The highest formation energy (no corrections) belongs to which entry?

number 1

> Which value of formation energy (no corrections) does entry 3 give?

0.11 eV/atom

> What is the calculated density in the third record?

7.0 Mg/m³